Record 1
Density functional theory data (GGA-PBEsol) for a geometry-optimized Re2POs structure.

Values from the calculation:
Total energy in eV/cell: -85.23
Formation energy in eV/atom: 0.514
Magnetization in μB per cell: 0.00

abc: 2.8577 4.7146 8.3424
angles: 90.00 90.00 90.00
Closest atoms and distances in Å follow each position.
Space group Cmmm (No. 65)
Symmetry-distinct sites (fractional):
Re1 0.0000 0.0000 0.2286  2 P 2.38
P1 0.0000 0.5000 0.0000  4 Re 2.38
Os1 0.0000 0.5000 0.5000  4 Re 2.68, 6 Os 2.76-2.86

***

Record 2
Density functional theory data (GGA-PBEsol) for a geometry-optimized BaLiGe2 structure.

Values from the calculation:
Total energy in eV/cell: -64.86
Formation energy in eV/atom: -0.555
Magnetization in μB per cell: 0.00

abc: 7.3898 4.5762 11.7817
angles: 90.00 90.00 90.00
Closest atoms and distances in Å follow each position.
Space group Pnma (No. 62)
Symmetry-distinct sites (fractional):
Ba1 0.1346 0.2500 0.1399  9 Ge 3.36-3.57, 2 Li 3.50-3.68
Li1 0.1167 0.2500 0.4368  5 Ge 2.70-2.85
Ge1 0.0346 0.2500 0.6601  2 Ge 2.47-2.53, 1 Li 2.70
Ge2 0.2008 0.2500 0.8481  2 Ge 2.47-2.53

***

Record 3
Density functional theory data (GGA-PBEsol) for a geometry-optimized YHg structure.

Values from the calculation:
Total energy in eV/cell: -50.11
Formation energy in eV/atom: -0.482
Magnetization in μB per cell: 0.00

abc: 4.5351 10.8196 6.2209
angles: 90.00 90.00 90.00
Closest atoms and distances in Å follow each position.
Space group Imm2 (No. 44)
Symmetry-distinct sites (fractional):
Y1 0.0000 0.0000 0.0000  6 Hg 3.06-3.13
Y2 0.0000 0.3213 0.8020  6 Hg 2.99-3.28
Hg1 0.0000 0.0000 0.4971  6 Y 3.09-3.22, 4 Hg 3.25
Hg2 0.0000 0.3588 0.2790  6 Y 2.99-3.28, 3 Hg 3.05-3.25

***

Record 4
Density functional theory data (GGA-PBEsol) for a geometry-optimized Fe2SbAu structure.

Values from the calculation:
Total energy in eV/cell: -73.86
Magnetization in μB per cell: 13.90
ΔE_f (raw) in eV per atom: 0.4475

abc: 2.9863 2.9863 24.2795
angles: 90.00 90.00 120.00
Closest atoms and distances in Å follow each position.
Space group R-3m (No. 166, hexagonal axes)
Symmetry-distinct sites (fractional):
Fe1 0.0000 0.0000 0.2504  3 Sb 2.65, 3 Au 2.67
Sb1 0.0000 0.0000 0.0000  6 Fe 2.65
Au1 0.0000 0.0000 0.5000  6 Fe 2.67

***

Record 5
Density functional theory data (GGA-PBEsol) for a geometry-optimized Cu2ReSe structure.

Values from the calculation:
Total energy in eV/cell: -23.29
Magnetization in μB per cell: 0.00
ΔE_f (raw) in eV per atom: 0.6394

abc: 3.6536 3.6536 4.0509
angles: 90.00 90.00 90.00
Closest atoms and distances in Å follow each position.
Space group P4/mmm (No. 123)
Symmetry-distinct sites (fractional):
Cu1 0.0000 0.5000 0.0000  4 Cu 2.58, 4 Se 2.73, 4 Re 2.73
Re1 0.0000 0.0000 0.5000  4 Se 2.58, 8 Cu 2.73
Se1 0.5000 0.5000 0.5000  4 Re 2.58, 8 Cu 2.73

***

Record 6
Density functional theory data (GGA-PBEsol) for a geometry-optimized CsHg2OsAu structure.

Values from the calculation:
Total energy in eV/cell: -13.48
Formation energy in eV/atom: 0.946
Magnetization in μB per cell: 2.65

abc: 5.3345 5.3345 5.1975
angles: 90.00 90.00 90.00
Closest atoms and distances in Å follow each position.
Space group P4/mmm (No. 123)
Symmetry-distinct sites (fractional):
Cs1 0.0000 0.0000 0.0000  8 Hg 3.72, 4 Os 3.77
Hg1 0.0000 0.5000 0.5000  2 Au 2.67
Os1 0.5000 0.5000 0.0000  2 Au 2.60
Au1 0.5000 0.5000 0.5000  2 Os 2.60, 4 Hg 2.67

***

Record 7
Density functional theory data (GGA-PBEsol) for a geometry-optimized Al2AuBr structure.

Values from the calculation:
Excess energy over the best structure of this formula in the dataset in meV per atom: 77
Total energy in eV/cell: -28.85
Magnetization in μB per cell: 0.00
ΔE_f (raw) in eV per atom: -0.1120

abc: 4.5592 4.5727 7.2700
angles: 90.00 90.00 90.00
Closest atoms and distances in Å follow each position.
Space group Cmmm (No. 65)
Symmetry-distinct sites (fractional):
Al1 0.0000 0.0000 0.2137  4 Au 2.76, 2 Br 3.09
Au1 0.0000 0.5000 0.0000  8 Al 2.76
Br1 0.0000 0.5000 0.5000  8 Al 3.09, 4 Br 3.23

***

Record 8
Density functional theory data (GGA-PBEsol) for a geometry-optimized TiB4Mo structure.

Values from the calculation:
Total energy in eV/cell: -52.73
Formation energy in eV/atom: -0.762
Magnetization in μB per cell: 0.00

abc: 3.0387 3.0387 6.3553
angles: 90.00 90.00 120.00
Closest atoms and distances in Å follow each position.
Space group P6/mmm (No. 191)
Symmetry-distinct sites (fractional):
Ti1 0.0000 0.0000 0.0000  12 B 2.34
B1 0.3333 0.6667 0.2443  3 B 1.75
Mo1 0.0000 0.0000 0.5000  12 B 2.39

***

Record 9
Density functional theory data (GGA-PBEsol) for a geometry-optimized CoP2 structure.

Values from the calculation:
Total energy in eV/cell: -78.90
Formation energy in eV/atom: -0.135
Magnetization in μB per cell: 0.01

abc: 5.3143 5.3143 5.0647
angles: 90.00 90.00 90.00
Closest atoms and distances in Å follow each position.
Space group I4/mcm (No. 140)
Symmetry-distinct sites (fractional):
Co1 0.0000 0.0000 0.2500  8 P 2.38, 2 Co 2.53
P1 0.1520 0.3480 0.0000  1 P 2.29, 4 Co 2.38

***

Record 10
Density functional theory data (GGA-PBEsol) for a geometry-optimized SbTe2P structure.

Values from the calculation:
Total energy in eV/cell: -32.73
Magnetization in μB per cell: 0.00
ΔE_f (raw) in eV per atom: 0.2589

abc: 3.8014 4.7388 11.6350
angles: 90.00 90.00 90.00
Closest atoms and distances in Å follow each position.
Space group Immm (No. 71)
Symmetry-distinct sites (fractional):
Sb1 0.0000 0.0000 0.0000  4 P 3.04, 4 Te 3.14
Te1 0.0000 0.5000 0.1770  2 P 2.80
P1 0.0000 0.0000 0.5000  4 Te 2.80, 4 Sb 3.04

***

Record 11
Density functional theory data (GGA-PBEsol) for a geometry-optimized AlSiGe2C structure.

Values from the calculation:
Total energy in eV/cell: -19.56
Magnetization in μB per cell: 0.76
ΔE_f (raw) in eV per atom: 1.9596

abc: 4.7277 4.7277 4.6370
angles: 90.00 90.00 90.00
Closest atoms and distances in Å follow each position.
Space group P4/mmm (No. 123)
Symmetry-distinct sites (fractional):
Al1 0.0000 0.0000 0.0000  2 Si 2.32, 4 Ge 2.36
Si1 0.0000 0.0000 0.5000  2 Al 2.32
Ge1 0.0000 0.5000 0.0000  2 Al 2.36
C1 0.5000 0.5000 0.5000  8 Ge 3.31, 4 Si 3.34

***

Record 12
Density functional theory data (GGA-PBEsol) for a geometry-optimized YBe3 structure.

Values from the calculation:
Excess energy over the best structure of this formula in the dataset in meV per atom: 12
Total energy in eV/cell: -38.03
Formation energy in eV/atom: -0.049
Magnetization in μB per cell: 0.00

abc: 3.6599 5.8189 5.2088
angles: 90.00 90.00 90.00
Closest atoms and distances in Å follow each position.
Space group Pmmn (No. 59, origin choice 2)
Symmetry-distinct sites (fractional):
Y1 0.2500 0.2500 0.1150  10 Be 2.78-3.10
Be1 0.2500 0.0556 0.6019  6 Be 2.16-2.26
Be2 0.2500 0.7500 0.3648  6 Be 2.16